SrLa2GaRh | PBE | optimized geometry

Structure (POSCAR):
```
SrLa2GaRh
1.0
5.5942 0.0000 0.0000
0.0000 5.5942 0.0000
0.0000 0.0000 5.0985
Sr Rh Ga La
1 1 1 2
Cartesian
2.7971 2.7971 2.5492
0.0000 0.0000 0.0000
0.0000 0.0000 2.5492
0.0000 2.7971 0.0000
2.7971 0.0000 0.0000
```

Values from the calculation:
- VASP energy: -23.70 eV/cell
- Space group: No. 123
- Calculated volume: 159.56 Å³ per cell